A plane-wave DFT calculation with PBE was carried out for a geometry-optimized BaTe2IrPb structure.

Output
* E_form (uncorrected): -87.0 meV/atom

a = 5.3556 Å, b = 5.7285 Å, c = 5.3556 Å
α = 90.00°, β = 90.00°, γ = 90.00°
Last column: nearest neighbours and their distance in Å.
Atoms (fractional coordinates):
1 Ir 0.0000 0.0000 0.0000  4 Te 2.68, 2 Ba 2.86
2 Pb 0.5000 0.5000 0.5000  4 Ba 3.79, 8 Te 3.92
3 Ba 0.0000 0.5000 0.0000  2 Ir 2.86
4 Te 0.0000 0.0000 0.5000  2 Ir 2.68
5 Te 0.5000 0.0000 0.0000  2 Ir 2.68

---

A plane-wave DFT calculation with PBE was carried out for a geometry-optimized AlFeRu2N structure.

Output
* E_form (uncorrected): 2466.3 meV/atom

a = 4.4204 Å, b = 4.2412 Å, c = 4.4204 Å
α = 90.00°, β = 90.00°, γ = 90.00°
Last column: nearest neighbours and their distance in Å.
Atoms (fractional coordinates):
1 Ru 0.5000 0.0000 0.0000  2 Al 2.21
2 Ru 0.0000 0.0000 0.5000  2 Al 2.21
3 Fe 0.0000 0.5000 0.0000  2 Al 2.12
4 Al 0.0000 0.0000 0.0000  2 Fe 2.12, 4 Ru 2.21
5 N 0.5000 0.5000 0.5000  8 Ru 3.06, 4 Fe 3.13

---

A plane-wave DFT calculation with PBE was carried out for a geometry-optimized SrPCl2 structure.

Output
* E_form (uncorrected): -957.3 meV/atom

a = 4.6810 Å, b = 4.6810 Å, c = 5.6695 Å
α = 90.00°, β = 90.00°, γ = 90.00°
Last column: nearest neighbours and their distance in Å.
Atoms (fractional coordinates):
1 Cl 0.5000 0.5000 0.1824  2 Sr 2.78-2.89
2 Cl 0.0000 0.0000 0.0057  1 P 2.08
3 Sr 0.5000 0.5000 0.6725  2 Cl 2.78-2.89
4 P 0.0000 0.0000 0.6394  1 Cl 2.08

---

A plane-wave DFT calculation with PBE was carried out for a geometry-optimized PmDySiAu structure.

Output
* E_form (uncorrected): -639.6 meV/atom

a = 5.1145 Å, b = 5.1145 Å, c = 5.1145 Å
α = 60.00°, β = 60.00°, γ = 60.00°
Last column: nearest neighbours and their distance in Å.
Atoms (fractional coordinates):
1 Pm 0.5000 0.5000 0.5000  4 Si 3.13, 4 Au 3.13
2 Si 0.7500 0.7500 0.7500  4 Dy 3.13, 4 Pm 3.13
3 Dy 0.0000 0.0000 0.0000  4 Au 3.13, 4 Si 3.13
4 Au 0.2500 0.2500 0.2500  4 Dy 3.13, 4 Pm 3.13

---

A plane-wave DFT calculation with PBE was carried out for a geometry-optimized CoAgSnH2 structure.

Output
* total DFT energy (no corrections): -3.53 eV per atom

a = 3.7354 Å, b = 5.0944 Å, c = 3.7354 Å
α = 90.00°, β = 90.00°, γ = 90.00°
Last column: nearest neighbours and their distance in Å.
Atoms (fractional coordinates):
1 H 0.5000 0.0000 0.0000  2 Co 1.87
2 H 0.0000 0.0000 0.5000  2 Co 1.87
3 Sn 0.0000 0.5000 0.0000  2 Co 2.55, 4 Ag 2.64
4 Ag 0.5000 0.5000 0.5000  4 Sn 2.64
5 Co 0.0000 0.0000 0.0000  4 H 1.87

---

A plane-wave DFT calculation with PBE was carried out for a geometry-optimized Ga2GePb structure.

Output
* energy of formation from the pure elements: 154 meV/atom

a = 4.5151 Å, b = 4.4917 Å, c = 4.4917 Å
α = 90.00°, β = 90.00°, γ = 90.00°
Last column: nearest neighbours and their distance in Å.
Atoms (fractional coordinates):
1 Ga 0.0000 0.5000 0.0000  4 Ga 3.18, 4 Ge 3.18, 4 Pb 3.18
2 Ga 0.0000 0.0000 0.5000  4 Ga 3.18, 4 Ge 3.18, 4 Pb 3.18
3 Pb 0.5000 0.5000 0.5000  4 Ge 3.18, 8 Ga 3.18
4 Ge 0.5000 0.0000 0.0000  4 Pb 3.18, 8 Ga 3.18

---

A plane-wave DFT calculation with PBE was carried out for a geometry-optimized Th11Tl9Co4 structure.

Output
* energy of formation from the pure elements: -206 meV/atom

a = 3.7274 Å, b = 13.6041 Å, c = 13.6041 Å
α = 113.12°, β = 90.00°, γ = 90.00°
Last column: nearest neighbours and their distance in Å.
Atoms (fractional coordinates):
1 Tl 0.5000 0.2208 0.0799  1 Co 3.03, 1 Tl 3.20, 4 Th 3.28-3.33
2 Tl 0.5000 0.0799 0.2208  1 Co 3.03, 1 Tl 3.20, 4 Th 3.28-3.33
3 Tl 0.5000 0.3593 0.8498  1 Tl 3.13, 4 Th 3.31-3.38, 1 Co 3.42
4 Tl 0.5000 0.8498 0.3593  1 Tl 3.13, 4 Th 3.31-3.38, 1 Co 3.42
5 Tl 0.5000 0.7792 0.9201  1 Co 3.03, 1 Tl 3.20, 4 Th 3.28-3.33
6 Tl 0.5000 0.1502 0.6407  1 Tl 3.13, 4 Th 3.31-3.38, 1 Co 3.42
7 Tl 0.5000 0.5000 0.5000  4 Co 3.18, 8 Th 3.33-3.41
8 Tl 0.5000 0.9201 0.7792  1 Co 3.03, 1 Tl 3.20, 4 Th 3.28-3.33
9 Tl 0.5000 0.6407 0.1502  1 Tl 3.13, 4 Th 3.31-3.38, 1 Co 3.42
10 Th 0.0000 0.1515 0.8485  8 Tl 3.38-3.46, 3 Th 3.44-3.73
11 Th 0.0000 0.3743 0.6257  4 Co 3.01
12 Th 0.0000 0.0925 0.4238  2 Co 2.77
13 Th 0.0000 0.8485 0.1515  8 Tl 3.38-3.46, 3 Th 3.44-3.73
14 Th 0.0000 0.6841 0.6841  4 Co 2.94
15 Th 0.0000 0.5762 0.9075  2 Co 2.77
16 Th 0.0000 0.3159 0.3159  4 Co 2.94
17 Th 0.0000 0.9075 0.5762  2 Co 2.77
18 Th 0.0000 0.4238 0.0925  2 Co 2.77
19 Th 0.0000 0.6257 0.3743  4 Co 3.01
20 Th 0.0000 0.0000 0.0000  8 Tl 3.33, 4 Th 3.44-3.73
21 Co 0.5000 0.7497 0.5540  6 Th 2.77-3.01, 1 Tl 3.03
22 Co 0.5000 0.2503 0.4460  6 Th 2.77-3.01, 1 Tl 3.03
23 Co 0.5000 0.5540 0.7497  6 Th 2.77-3.01, 1 Tl 3.03
24 Co 0.5000 0.4460 0.2503  6 Th 2.77-3.01, 1 Tl 3.03

---

A plane-wave DFT calculation with PBE was carried out for a geometry-optimized HfReN2 structure.

Output
* E_form (uncorrected): 7.9 meV/atom

a = 3.9179 Å, b = 3.9179 Å, c = 3.9179 Å
α = 60.00°, β = 60.00°, γ = 60.00°
Last column: nearest neighbours and their distance in Å.
Atoms (fractional coordinates):
1 N 0.7500 0.7500 0.7500  4 Hf 2.40, 4 Re 2.40
2 N 0.2500 0.2500 0.2500  4 Hf 2.40, 4 Re 2.40
3 Hf 0.0000 0.0000 0.0000  8 N 2.40
4 Re 0.5000 0.5000 0.5000  8 N 2.40

---

A plane-wave DFT calculation with PBE was carried out for a geometry-optimized Li3H4Pd2 structure.

Output
* total DFT energy (no corrections): -3.55 eV per atom

a = 2.9218 Å, b = 6.3214 Å, c = 10.4845 Å
α = 90.00°, β = 90.00°, γ = 90.00°
Last column: nearest neighbours and their distance in Å.
Atoms (fractional coordinates):
1 Li 0.5000 0.1057 0.2915  2 H 1.90
2 Li 0.5000 0.5000 0.5000  2 H 2.10
3 Li 0.0000 0.3943 0.7915  2 H 1.90
4 Li 0.0000 0.0000 0.0000  2 H 2.10
5 Li 0.0000 0.6057 0.2085  2 H 1.90
6 Li 0.5000 0.8943 0.7085  2 H 1.90
7 Pd 0.0000 0.8194 0.4250  4 H 1.81-1.89
8 Pd 0.0000 0.1806 0.5750  4 H 1.81-1.89
9 Pd 0.5000 0.6806 0.9250  4 H 1.81-1.89
10 Pd 0.5000 0.3194 0.0750  4 H 1.81-1.89
11 H 0.5000 0.7114 0.3458  2 Pd 1.81
12 H 0.0000 0.7886 0.8458  2 Pd 1.81
13 H 0.0000 0.8839 0.5931  2 Pd 1.81-1.89, 2 Li 1.90
14 H 0.0000 0.2114 0.1542  2 Pd 1.81
15 H 0.5000 0.3839 0.9069  2 Pd 1.81-1.89, 2 Li 1.90
16 H 0.0000 0.1161 0.4069  2 Pd 1.81-1.89, 2 Li 1.90
17 H 0.5000 0.6161 0.0931  2 Pd 1.81-1.89, 2 Li 1.90
18 H 0.5000 0.2886 0.6542  2 Pd 1.81

---

A plane-wave DFT calculation with PBE was carried out for a geometry-optimized Li2GaIr2 structure.

Output
* energy of formation from the pure elements: -36 meV/atom

a = 6.1899 Å, b = 6.1899 Å, c = 3.2092 Å
α = 90.00°, β = 90.00°, γ = 90.00°
Last column: nearest neighbours and their distance in Å.
Atoms (fractional coordinates):
1 Ga 0.5000 0.5000 0.0000  4 Li 2.48, 8 Ir 2.77
2 Ga 0.0000 0.0000 0.0000  4 Li 2.48, 8 Ir 2.77
3 Li 0.8837 0.6163 0.0000  1 Li 2.04
4 Li 0.3837 0.8837 0.0000  1 Li 2.04
5 Li 0.6163 0.1163 0.0000  1 Li 2.04
6 Li 0.1163 0.3837 0.0000  1 Li 2.04
7 Ir 0.1845 0.6845 0.5000  6 Li 2.37-2.49
8 Ir 0.3155 0.1845 0.5000  6 Li 2.37-2.49
9 Ir 0.8155 0.3155 0.5000  6 Li 2.37-2.49
10 Ir 0.6845 0.8155 0.5000  6 Li 2.37-2.49